DFT (PBE) results for a relaxed CaTmTe4Pb2 crystal.

Lattice parameters (Å, degrees): 7.892 4.507 7.987 90.00 108.60 90.00
Atoms (fractional coordinates):
Ca (0.000, 0.000, 0.000)
Tm (0.500, 0.500, 0.000)
Te (0.254, 0.500, 0.235)
Te (0.268, 0.000, 0.773)
Te (0.732, 0.000, 0.227)
Te (0.746, 0.500, 0.765)
Pb (0.000, 0.500, 0.500)
Pb (0.500, 0.000, 0.500)

Summary:
raw formation energy = -852 meV per atom
calculated total energy = -33.27 eV per formula unit

***

DFT (PBE) results for a relaxed BaZn3Pt crystal.

Lattice parameters (Å, degrees): 5.959 5.959 5.959 90.00 90.00 90.00
Atoms (fractional coordinates):
Ba (0.000, 0.000, 0.000)
Zn (0.000, 0.000, 0.500)
Zn (0.000, 0.500, 0.000)
Zn (0.500, 0.000, 0.000)
Pt (0.500, 0.500, 0.500)

Summary:
calculated total energy = -5.02 eV per formula unit
formation energy = 1.35 eV/atom

***

DFT (PBE) results for a relaxed Tb2GaS4 crystal.

Lattice parameters (Å, degrees): 7.240 7.240 6.970 117.58 117.58 31.55
Atoms (fractional coordinates):
Tb (0.224, 0.224, 0.216)
Tb (0.776, 0.776, 0.784)
Ga (0.500, 0.500, 0.500)
S (0.135, 0.135, 0.492)
S (0.381, 0.381, 0.074)
S (0.619, 0.619, 0.926)
S (0.865, 0.865, 0.508)

Summary:
raw formation energy = -1482 meV per atom
calculated total energy = -39.17 eV per formula unit

***

DFT (PBE) results for a relaxed Zr2AgPbS crystal.

Lattice parameters (Å, degrees): 5.530 5.530 5.052 90.00 90.00 90.00
Atoms (fractional coordinates):
Zr (0.000, 0.500, 0.000)
Zr (0.500, 0.000, 0.000)
Ag (0.000, 0.000, 0.500)
Pb (0.000, 0.000, 0.000)
S (0.500, 0.500, 0.500)

Summary:
raw formation energy = 1072 meV per atom
calculated total energy = -22.42 eV per formula unit

***

DFT (PBE) results for a relaxed AsIrSe2 crystal.

Lattice parameters (Å, degrees): 3.748 5.009 5.009 58.77 90.00 90.00
Atoms (fractional coordinates):
As (0.000, 0.000, 0.000)
Ir (0.500, 0.185, 0.185)
Se (0.000, 0.384, 0.384)
Se (0.500, 0.732, 0.732)

Summary:
raw formation energy = -80 meV per atom
calculated total energy = -20.80 eV per formula unit

***

DFT (PBE) results for a relaxed ZnSb6Ru crystal.

Lattice parameters (Å, degrees): 8.247 8.247 9.589 125.13 125.13 69.94
Atoms (fractional coordinates):
Zn (0.000, 0.500, 0.000)
Zn (0.500, 0.000, 0.000)
Sb (0.145, 0.835, 0.644)
Sb (0.165, 0.855, 0.356)
Sb (0.193, 0.505, 0.838)
Sb (0.329, 0.329, 0.483)
Sb (0.360, 0.360, 0.210)
Sb (0.495, 0.807, 0.162)
Sb (0.505, 0.193, 0.838)
Sb (0.640, 0.640, 0.790)
Sb (0.671, 0.671, 0.517)
Sb (0.807, 0.495, 0.162)
Sb (0.835, 0.145, 0.644)
Sb (0.855, 0.165, 0.356)
Ru (0.000, 0.500, 0.500)
Ru (0.500, 0.000, 0.500)

Summary:
raw formation energy = -33 meV per atom
calculated total energy = -35.55 eV per formula unit

***

DFT (PBE) results for a relaxed Pr4Tm3Se8 crystal.

Lattice parameters (Å, degrees): 9.042 9.042 9.042 53.30 53.30 53.30
Atoms (fractional coordinates):
Pr (0.000, 0.000, 0.000)
Pr (0.147, 0.147, 0.147)
Pr (0.500, 0.500, 0.500)
Pr (0.853, 0.853, 0.853)
Tm (0.000, 0.500, 0.500)
Tm (0.500, 0.000, 0.500)
Tm (0.500, 0.500, 0.000)
Se (0.250, 0.250, 0.731)
Se (0.250, 0.731, 0.250)
Se (0.269, 0.750, 0.750)
Se (0.270, 0.270, 0.270)
Se (0.730, 0.730, 0.730)
Se (0.731, 0.250, 0.250)
Se (0.750, 0.269, 0.750)
Se (0.750, 0.750, 0.269)

Summary:
raw formation energy = -1613 meV per atom
calculated total energy = -84.60 eV per formula unit

***

DFT (PBE) results for a relaxed CrSbSe2 crystal.

Lattice parameters (Å, degrees): 8.745 8.745 8.745 23.92 23.92 23.92
Atoms (fractional coordinates):
Cr (0.000, 0.000, 0.000)
Sb (0.500, 0.500, 0.500)
Se (0.388, 0.388, 0.388)
Se (0.612, 0.612, 0.612)

Summary:
raw formation energy = -316 meV per atom
calculated total energy = -21.98 eV per formula unit

***

- What is the calculated total energy in the second record?
  -5.02 eV per formula unit

***

- Which value of calculated total energy does entry 8 give?
  -21.98 eV per formula unit

***

- Which value of calculated total energy does entry 7 give?
  -84.60 eV per formula unit